Below is an optimized crystal structure of PaBTe, with properties calculated at the PBE level.

Cell and atoms, written as POSCAR:
```
PaBTe
1.0
0.000 3.352 3.352
3.352 0.000 3.352
3.352 3.352 0.000
B Pa Te
1 1 1
Cartesian
1.676 1.676 1.676
0.000 0.000 0.000
5.029 5.029 5.029
```

Total magnetization, μB per atom: 0.056
Total energy, eV/cell: -17.45